The following is a DFT calculation (GGA-PBE) of a relaxed BaLa2Gd crystal.

Properties
- Distance to the lowest polymorph of the same formula: 82 meV per atom
- Density of states at the Fermi level: 21.64 states/eV per cell
- V: 482 Å³/cell
- Formation energy from the elements: 0.181 eV per atom

a = 3.7328 Å, b = 3.7328 Å, c = 39.9578 Å
α = 90.00°, β = 90.00°, γ = 120.00°
Closest atoms and distances in Å follow each position.
Space group R-3m (No. 166, hexagonal axes)
Inequivalent atoms, fractional coordinates:
Ba 0.0000 0.0000 0.0000  6 Ba 3.73, 2 La 3.74
La 0.0000 0.0000 0.0936  3 Gd 3.63, 6 La 3.73, 1 Ba 3.74
Gd 0.0000 0.0000 0.5000  6 La 3.63, 6 Gd 3.73

***

The following is a DFT calculation (GGA-PBE) of a relaxed LaScCuB2 crystal.

Properties
- Density of states at the Fermi level: 4.74 states/eV per cell
- V: 121 Å³/cell
- Formation energy from the elements: 2.065 eV per atom

a = 4.6409 Å, b = 4.6409 Å, c = 5.6164 Å
α = 90.00°, β = 90.00°, γ = 90.00°
Closest atoms and distances in Å follow each position.
Space group P4/mmm (No. 123)
Inequivalent atoms, fractional coordinates:
La 0.0000 0.0000 0.0000  4 B 2.32
Sc 0.0000 0.0000 0.5000  2 La 2.81
Cu 0.5000 0.5000 0.5000  4 Sc 3.28, 8 B 3.64
B 0.0000 0.5000 0.0000  2 La 2.32

***

The following is a DFT calculation (GGA-PBE) of a relaxed PaCuPb crystal.

Properties
- Distance to the lowest polymorph of the same formula: 551 meV per atom
- Density of states at the Fermi level: 7.89 states/eV per cell
- V: 151 Å³/cell
- Formation energy from the elements: 0.652 eV per atom

a = 3.0322 Å, b = 3.0322 Å, c = 16.4341 Å
α = 90.00°, β = 90.00°, γ = 90.00°
Closest atoms and distances in Å follow each position.
Space group I4mm (No. 107)
Inequivalent atoms, fractional coordinates:
Pa 0.0000 0.0000 0.0000  1 Cu 2.75, 4 Pa 3.03
Cu 0.0000 0.0000 0.1672  1 Pa 2.75, 1 Pb 2.76, 4 Cu 3.03
Pb 0.0000 0.0000 0.3353  1 Cu 2.76, 4 Pb 3.03

***

The following is a DFT calculation (GGA-PBE) of a relaxed IrPt3 crystal.

Properties
- Density of states at the Fermi level: 6.33 states/eV per cell
- V: 62 Å³/cell
- Formation energy from the elements: 0.031 eV per atom

a = 2.7907 Å, b = 2.7907 Å, c = 7.9101 Å
α = 90.00°, β = 90.00°, γ = 90.00°
Closest atoms and distances in Å follow each position.
Space group P4/mmm (No. 123)
Inequivalent atoms, fractional coordinates:
Ir 0.0000 0.0000 0.0000  8 Pt 2.75, 4 Ir 2.79
Pt 0.0000 0.0000 0.5000  12 Pt 2.79-2.84
Pt 0.5000 0.5000 0.2415  4 Ir 2.75, 8 Pt 2.79-2.84

***

The following is a DFT calculation (GGA-PBE) of a relaxed TcTe2Pt crystal.

Properties
- Distance to the lowest polymorph of the same formula: 869 meV per atom
- Density of states at the Fermi level: 15.82 states/eV per cell
- V: 328 Å³/cell
- ΔE_f (raw): 0.740 eV/atom

a = 6.8989 Å, b = 6.8989 Å, c = 6.8989 Å
α = 90.00°, β = 90.00°, γ = 90.00°
Closest atoms and distances in Å follow each position.
Space group F-43m (No. 216)
Inequivalent atoms, fractional coordinates:
Tc 0.0000 0.0000 0.0000  4 Te 2.99, 4 Pt 2.99
Te 0.0000 0.0000 0.5000  4 Te 2.99, 4 Pt 2.99
Te 0.2500 0.2500 0.2500  4 Tc 2.99, 4 Te 2.99
Pt 0.2500 0.2500 0.7500  4 Tc 2.99, 4 Te 2.99

***

The following is a DFT calculation (GGA-PBE) of a relaxed ErBeNi6 crystal.

Properties
- Density of states at the Fermi level: 10.10 states/eV per cell
- V: 104 Å³/cell
- Formation energy from the elements: -0.119 eV per atom

a = 3.6858 Å, b = 3.6858 Å, c = 7.6487 Å
α = 90.00°, β = 90.00°, γ = 90.00°
Closest atoms and distances in Å follow each position.
Space group P4/mmm (No. 123)
Inequivalent atoms, fractional coordinates:
Er 0.0000 0.0000 0.0000  8 Ni 2.84
Be 0.0000 0.0000 0.5000  8 Ni 2.21
Ni 0.0000 0.5000 0.3408  2 Be 2.21, 3 Ni 2.36-2.44
Ni 0.5000 0.5000 0.1486  5 Ni 2.27-2.36